! TeRhS3, relaxed, DFT PBEsol; values from VASP
! Mass density ... 4.56 g/cm3
! E ... -3.75 eV per atom
! Uncorrected formation energy ... 1.22 eV/atom
&SYSTEM
  ibrav = 0, nat = 5, ntyp = 3
/
ATOMIC_SPECIES
S 32.06 S.upf
Te 127.60 Te.upf
Rh 102.91 Rh.upf
ATOMIC_POSITIONS angstrom
S 0.000 2.459 0.000
S 0.000 0.000 2.459
S 2.459 0.000 0.000
Te 0.000 0.000 0.000
Rh 2.459 2.459 2.459
CELL_PARAMETERS angstrom
4.918 0.000 0.000
0.000 4.918 0.000
0.000 0.000 4.918